No. 1
The following is a PBE calculation of YPd2Pt4 after structural relaxation, from Alexandria via LeMat-Bulk.

abc: 8.730 5.456 7.957
angles: 110.05 123.32 90.00
Fractional positions:
Pd  0.208  0.303  0.606
Pt  0.913  0.066  0.614
Y  0.647  0.825  0.649
Pt  0.913  0.548  0.614
Pd  0.852  0.447  0.895
Pt  0.201  0.491  0.983
Pd  0.529  0.875  0.250
Pd  0.529  0.375  0.250
Pt  0.828  0.632  0.264
Y  0.247  0.924  0.849
Pt  0.468  0.259  0.517
Pt  0.550  0.685  0.887
Pt  0.815  0.119  0.238
Pt  0.550  0.202  0.887

Computed properties:
DFT formation energy = -0.238 eV per atom
total DFT energy (no corrections) = -85.361 eV/cell

=====

No. 2
The following is a PBE calculation of Y3PdPt2 after structural relaxation, from Alexandria via LeMat-Bulk.

abc: 3.491 4.978 7.852
angles: 108.48 90.00 90.00
Fractional positions:
Y  0.500  0.831  0.663
Y  0.500  0.169  0.337
Y  0.500  0.500  0.000
Pt  0.000  0.664  0.329
Pd  0.000  0.000  0.000
Pt  0.000  0.336  0.671

Computed properties:
DFT formation energy = -1.102 eV per atom
total DFT energy (no corrections) = -43.281 eV/cell